# 1
HgMo2Pt | PBE-GGA | optimized geometry

Cell: 5.1917 5.1917 5.1917 Å, 136.01 135.97 64.00°
Sites, in units of the cell vectors:
Hg1 0.2500 0.7500 0.5000
Mo1 0.0000 0.0000 0.0000
Pt1 0.7500 0.2500 0.5000
Mo2 0.5000 0.5000 0.0000

Relative energy among the computed polymorphs (meV/atom): 91
Formation enthalpy at 0 K (eV/atom): 0.25
E_tot (eV per atom): -6.7551
Density of states at the Fermi level (states/eV/f.u.): 3.2
Space-group type: I4/mmm

# 2
BeBCl2 | PBE-GGA | optimized geometry

Cell: 4.3727 4.3727 4.3727 Å, 60.00 60.00 60.00°
Sites, in units of the cell vectors:
Cl1 0.7500 0.7500 0.7500
B1 0.5000 0.5000 0.5000
Be1 0.0000 0.0000 0.0000
Cl2 0.2500 0.2500 0.2500

Relative energy among the computed polymorphs (meV/atom): 745
E_form (uncorrected) (eV/atom): 1.1386
E_tot (eV per atom): -2.3856
Density of states at the Fermi level (states/eV/f.u.): 1.6
Space-group type: Fm-3m

# 3
ThNiBi2 | PBE-GGA | optimized geometry

Cell: 3.4968 3.4968 10.4955 Å, 80.41 80.41 60.00°
Sites, in units of the cell vectors:
Th1 0.0000 0.0000 0.0000
Ni1 0.5000 0.5000 0.5000
Bi1 0.1083 0.1083 0.6750
Bi2 0.8917 0.8917 0.3250

Formation enthalpy at 0 K (eV/atom): 0.15
E_tot (eV per atom): -5.0911
Density of states at the Fermi level (states/eV/f.u.): 3.2
Space-group type: R-3m